--- one ---
Entry from Alexandria via LeMat-Bulk: an optimized crystal structure of SrReNi (PBE).

The structure in CIF format:
```
data_SrReNi
_chemical_formula_sum 'Sr2 Re2 Ni2'
_cell_length_a 2.794
_cell_length_b 3.779
_cell_length_c 11.255
_cell_angle_alpha 90.00
_cell_angle_beta 90.00
_cell_angle_gamma 90.00
_symmetry_space_group_name_H-M 'I m m 2'
_symmetry_Int_Tables_number 44
loop_
_symmetry_equiv_pos_as_xyz
'x,y,z'
'-x,-y,z'
'-x,y,z'
'x,-y,z'
'x+1/2,y+1/2,z+1/2'
'-x+1/2,-y+1/2,z+1/2'
'-x+1/2,y+1/2,z+1/2'
'x+1/2,-y+1/2,z+1/2'
loop_
_atom_site_label
_atom_site_type_symbol
_atom_site_fract_x
_atom_site_fract_y
_atom_site_fract_z
_atom_site_occupancy
Sr1 Sr 0.000 0.000 0.000 1
Re1 Re 0.000 0.000 0.282 1
Ni1 Ni 0.000 0.000 0.710 1
```

***

--- two ---
Entry from Alexandria via LeMat-Bulk: an optimized crystal structure of SrReNi (PBE).

The structure in CIF format:
```
data_SrReNi
_chemical_formula_sum 'Sr1 Re1 Ni1'
_cell_length_a 3.0321
_cell_length_b 3.0321
_cell_length_c 7.0505
_cell_angle_alpha 90.00
_cell_angle_beta 90.00
_cell_angle_gamma 120.00
_symmetry_space_group_name_H-M 'P 3 m 1'
_symmetry_Int_Tables_number 156
loop_
_symmetry_equiv_pos_as_xyz
'x,y,z'
'-y,x-y,z'
'-x+y,-x,z'
'-y,-x,z'
'-x+y,y,z'
'x,x-y,z'
loop_
_atom_site_label
_atom_site_type_symbol
_atom_site_fract_x
_atom_site_fract_y
_atom_site_fract_z
_atom_site_occupancy
Sr1 Sr 0.0000 0.0000 0.0000 1
Re1 Re 0.3333 0.6667 0.6214 1
Ni1 Ni 0.6667 0.3333 0.3705 1
```

***

one is the most stable structure; the next one sits 45.7 kJ/mol of atoms above it.

***

--- one ---
Entry from Alexandria via LeMat-Bulk: an optimized crystal structure of SrReNi3 (PBE).

The structure in CIF format:
```
data_SrReNi3
_chemical_formula_sum 'Sr1 Re1 Ni3'
_cell_length_a 4.636
_cell_length_b 4.636
_cell_length_c 4.636
_cell_angle_alpha 90.00
_cell_angle_beta 90.00
_cell_angle_gamma 90.00
_symmetry_space_group_name_H-M 'P m -3 m'
_symmetry_Int_Tables_number 221
_symmetry_space_group_name_Hall '-P 4 2 3'
loop_
_atom_site_label
_atom_site_type_symbol
_atom_site_fract_x
_atom_site_fract_y
_atom_site_fract_z
_atom_site_occupancy
Sr1 Sr 0.000 0.000 0.000 1
Re1 Re 0.500 0.500 0.500 1
Ni1 Ni 0.000 0.500 0.500 1
```

***

--- two ---
Entry from Alexandria via LeMat-Bulk: an optimized crystal structure of SrReNi3 (PBE).

The structure in CIF format:
```
data_SrReNi3
_chemical_formula_sum 'Sr1 Re1 Ni3'
_cell_length_a 4.592
_cell_length_b 4.592
_cell_length_c 4.592
_cell_angle_alpha 90.00
_cell_angle_beta 90.00
_cell_angle_gamma 90.00
_symmetry_space_group_name_H-M 'P m -3 m'
_symmetry_Int_Tables_number 221
_symmetry_space_group_name_Hall '-P 4 2 3'
loop_
_atom_site_label
_atom_site_type_symbol
_atom_site_fract_x
_atom_site_fract_y
_atom_site_fract_z
_atom_site_occupancy
Sr1 Sr 0.000 0.000 0.000 1
Re1 Re 0.500 0.500 0.500 1
Ni1 Ni 0.000 0.000 0.500 1
```

***

one is the most stable structure; the next one sits 167.3 kJ/mol of atoms above it.